Entry 1:
The following is a DFT calculation (PBE) of a relaxed structure of Zr2B2Se.

Structure (POSCAR):
```
Zr2B2Se
1.0
6.613 0.000 0.000
0.000 6.613 0.000
0.000 0.000 3.343
Zr B Se
4 4 2
direct
0.810 0.310 0.500
0.690 0.810 0.500
0.190 0.690 0.500
0.310 0.190 0.500
0.588 0.088 0.000
0.412 0.912 0.000
0.912 0.588 0.000
0.088 0.412 0.000
0.000 0.000 0.000
0.500 0.500 0.000
```

Results
Total magnetization, μB/atom: 0.00
E, eV/atom: -7.18
E above lowest polymorph, eV/atom: 0.000
Crystal system: tetragonal
DOS(E_F), states/eV/f.u.: 3.1



Entry 2:
The following is a DFT calculation (PBE) of a relaxed structure of Zr2BSe.

Structure (POSCAR):
```
Zr2BSe
1.0
-1.539 -0.637 -3.178
-0.929 -3.345 -0.905
-6.572 -0.435 1.244
Zr Se B
2 1 1
direct
0.733 0.733 0.800
0.267 0.267 0.200
0.500 0.500 0.500
0.000 0.000 0.000
```

Results
Total magnetization, μB/atom: 0.00
E, eV/atom: -7.85
E above lowest polymorph, eV/atom: 0.000
Crystal system: trigonal
DOS(E_F), states/eV/f.u.: 2.0



Entry 3:
The following is a DFT calculation (PBE) of a relaxed structure of Zr2B2Se.

Structure (POSCAR):
```
Zr2B2Se
1.0
-0.778 -3.901 -2.197
3.591 -1.876 2.058
-0.853 -4.058 2.808
Zr Se B
2 1 2
direct
0.750 0.250 0.500
0.250 0.750 0.500
0.000 0.000 0.000
0.602 0.602 0.795
0.398 0.398 0.205
```

Results
Total magnetization, μB/atom: 0.00
E, eV/atom: -6.87
E above lowest polymorph, eV/atom: 0.315
Crystal system: tetragonal
DOS(E_F), states/eV/f.u.: 3.2



Entry 4:
The following is a DFT calculation (PBE) of a relaxed structure of Zr4BSe3.

Structure (POSCAR):
```
Zr4BSe3
1.0
-0.569 -2.983 2.123
4.756 -3.295 -3.354
2.821 3.150 5.181
B Zr Se
1 4 3
direct
0.500 0.000 0.000
0.000 0.204 0.204
0.500 0.786 0.214
0.000 0.796 0.796
0.500 0.214 0.786
0.000 0.500 0.000
0.500 0.500 0.500
0.000 0.000 0.500
```

Results
Total magnetization, μB/atom: 0.00
E, eV/atom: -7.53
Crystal system: orthorhombic
DOS(E_F), states/eV/f.u.: 3.5



Entry 5:
The following is a DFT calculation (PBE) of a relaxed structure of Zr2BSe.

Structure (POSCAR):
```
Zr2BSe
1.0
-0.381 2.663 3.682
-3.065 3.375 0.065
-3.682 -0.315 2.671
Zr B Se
2 1 1
direct
0.750 0.750 0.750
0.250 0.250 0.250
0.000 0.000 0.000
0.500 0.500 0.500
```

Results
Total magnetization, μB/atom: 0.00
E, eV/atom: -7.04
E above lowest polymorph, eV/atom: 0.802
Crystal system: cubic
DOS(E_F), states/eV/f.u.: 4.7



Entry 6:
The following is a DFT calculation (PBE) of a relaxed structure of Zr3BSe.

Structure (POSCAR):
```
Zr3BSe
1.0
-4.382 0.923 -1.183
-1.217 -0.046 4.469
0.879 4.538 0.286
B Zr Se
1 3 1
direct
0.000 0.000 0.000
0.000 0.000 0.500
0.000 0.500 0.000
0.500 0.000 0.000
0.500 0.500 0.500
```

Results
Total magnetization, μB/atom: 0.00
E, eV/atom: -7.38
E above lowest polymorph, eV/atom: 0.506
Crystal system: cubic
DOS(E_F), states/eV/f.u.: 5.3



Entry 7:
The following is a DFT calculation (PBE) of a relaxed structure of Zr2BSe.

Structure (POSCAR):
```
Zr2BSe
1.0
5.733 0.000 0.000
0.000 5.733 0.000
2.866 2.866 5.523
Zr Se B
4 2 2
direct
0.187 0.625 0.250
0.375 0.437 0.750
0.563 0.125 0.250
0.875 0.813 0.750
0.000 0.000 0.000
0.750 0.250 0.500
0.250 0.750 0.500
0.500 0.500 0.000
```

Results
Total magnetization, μB/atom: 0.00
E, eV/atom: -7.16
E above lowest polymorph, eV/atom: 0.689
Crystal system: tetragonal
DOS(E_F), states/eV/f.u.: 2.1



Entry 8:
The following is a DFT calculation (PBE) of a relaxed structure of Zr5B2Se.

Structure (POSCAR):
```
Zr5B2Se
1.0
-0.783 0.647 -6.538
0.505 -6.559 -0.709
-6.034 2.407 4.308
Zr Se B
10 2 4
direct
0.500 0.500 0.000
0.538 0.695 0.733
0.805 0.962 0.267
0.305 0.805 0.267
0.462 0.305 0.267
0.962 0.462 0.267
0.195 0.038 0.733
0.695 0.195 0.733
0.038 0.538 0.733
0.000 0.000 0.000
0.250 0.250 0.500
0.750 0.750 0.500
0.105 0.395 0.000
0.395 0.895 0.000
0.895 0.605 0.000
0.605 0.105 0.000
```

Results
Total magnetization, μB/atom: 0.00
E, eV/atom: -8.07
Crystal system: tetragonal
DOS(E_F), states/eV/f.u.: 7.6